#A
Below is crystalline LaSi2I at its relaxed geometry, with properties calculated at the PBE-GGA level.

a b c (Å): 8.365 8.365 6.665
angles (deg): 51.13 51.13 90.00
Element x y z (fractional)
1 I 0.500 0.500 0.000
2 I 0.250 0.750 0.500
3 Si 0.624 0.125 0.250
4 Si 0.126 0.625 0.250
5 Si 0.375 0.376 0.750
6 Si 0.875 0.874 0.750
7 La 0.000 0.000 0.000
8 La 0.750 0.250 0.500

Properties
Crystal system: tetragonal

=====

#B
Below is crystalline LaSi2I at its relaxed geometry, with properties calculated at the PBE-GGA level.

a b c (Å): 5.249 5.249 5.249
angles (deg): 60.00 60.00 60.00
Element x y z (fractional)
1 I 0.000 0.000 0.000
2 Si 0.250 0.250 0.250
3 Si 0.750 0.750 0.750
4 La 0.500 0.500 0.500

Properties
Crystal system: cubic

=====

What should be chosen as the most stable of them? Choose #A.

=====

#A
Below is crystalline La3SiI at its relaxed geometry, with properties calculated at the PBE-GGA level.

a b c (Å): 7.236 7.706 7.505
angles (deg): 106.73 118.82 90.00
Element x y z (fractional)
1 La 0.938 0.699 0.380
2 La 0.046 0.247 0.092
3 La 0.443 0.699 0.380
4 La 0.557 0.301 0.620
5 La 0.062 0.301 0.620
6 La 0.954 0.753 0.908
7 Si 0.818 0.999 0.636
8 Si 0.182 0.001 0.364
9 I 0.438 0.701 0.876
10 I 0.562 0.299 0.124

Properties
Crystal system: monoclinic

=====

#B
Below is crystalline La3SiI at its relaxed geometry, with properties calculated at the PBE-GGA level.

a b c (Å): 5.845 5.845 5.845
angles (deg): 90.00 90.00 90.00
Element x y z (fractional)
1 I 0.000 0.000 0.000
2 Si 0.500 0.500 0.500
3 La 0.000 0.500 0.000
4 La 0.000 0.000 0.500
5 La 0.500 0.000 0.000

Properties
Crystal system: cubic

=====

What should be chosen as the most stable of them? Choose #A.

=====

#A
Below is crystalline La2SiI at its relaxed geometry, with properties calculated at the PBE-GGA level.

a b c (Å): 3.791 3.791 8.154
angles (deg): 90.00 90.00 90.00
Each line ends with the local moment (μB).
Element x y z (fractional)
1 I 0.500 0.500 0.500  0.00
2 Si 0.500 0.500 0.000  0.00
3 La 0.000 0.000 0.793  0.06
4 La 0.000 0.000 0.207  0.06

Properties
Crystal system: tetragonal

=====

#B
Below is crystalline La2SiI at its relaxed geometry, with properties calculated at the PBE-GGA level.

a b c (Å): 8.264 8.264 7.054
angles (deg): 54.14 54.14 90.00
Each line ends with the local moment (μB).
Element x y z (fractional)
1 I 0.000 0.000 0.000  0.02
2 I 0.750 0.250 0.500  0.01
3 Si 0.500 0.500 0.000  0.00
4 Si 0.250 0.750 0.500  0.00
5 La 0.596 0.125 0.250  0.17
6 La 0.154 0.625 0.250  0.17
7 La 0.375 0.404 0.750  0.17
8 La 0.875 0.846 0.750  0.16

Properties
Crystal system: tetragonal

=====

What should be chosen as the most stable of them? Choose #A.

=====

#A
Below is crystalline La2SiI at its relaxed geometry, with properties calculated at the PBE-GGA level.

a b c (Å): 5.455 5.455 5.455
angles (deg): 60.00 60.00 60.00
Element x y z (fractional)
1 I 0.500 0.500 0.500
2 Si 0.000 0.000 0.000
3 La 0.250 0.250 0.250
4 La 0.750 0.750 0.750

Properties
Crystal system: cubic

=====

#B
Below is crystalline La2SiI at its relaxed geometry, with properties calculated at the PBE-GGA level.

a b c (Å): 6.332 6.332 12.869
angles (deg): 90.00 90.00 90.00
Element x y z (fractional)
1 La 0.750 0.000 0.893
2 La 0.250 0.000 0.107
3 La 0.750 0.500 0.607
4 La 0.250 0.500 0.393
5 La 0.750 0.500 0.143
6 La 0.250 0.500 0.857
7 La 0.750 0.000 0.357
8 La 0.250 0.000 0.643
9 Si 0.250 0.500 0.625
10 Si 0.750 0.500 0.375
11 Si 0.250 0.000 0.875
12 Si 0.750 0.000 0.125
13 I 0.250 0.000 0.375
14 I 0.750 0.000 0.625
15 I 0.250 0.500 0.125
16 I 0.750 0.500 0.875

Properties
Crystal system: orthorhombic

=====

#C
Below is crystalline La2SiI at its relaxed geometry, with properties calculated at the PBE-GGA level.

a b c (Å): 4.426 4.426 8.242
angles (deg): 74.43 74.43 60.00
Element x y z (fractional)
1 I 0.500 0.500 0.500
2 Si 0.000 0.000 0.000
3 La 0.266 0.266 0.201
4 La 0.734 0.734 0.799

Properties
Crystal system: trigonal

=====

#D
Below is crystalline La2SiI at its relaxed geometry, with properties calculated at the PBE-GGA level.

a b c (Å): 4.369 4.369 8.458
angles (deg): 75.03 75.03 60.00
Element x y z (fractional)
1 La 0.066 0.066 0.801
2 La 0.267 0.267 0.198
3 Si 0.668 0.668 0.997
4 I 0.499 0.499 0.504

Properties
Crystal system: trigonal

=====

What should be chosen as the most stable of them? Choose #C.

=====

#A
Below is crystalline La4Si2I3 at its relaxed geometry, with properties calculated at the PBE-GGA level.

a b c (Å): 6.226 10.318 10.318
angles (deg): 77.66 87.84 87.84
Element x y z (fractional)
1 La 0.489 0.941 0.311
2 La 0.011 0.689 0.059
3 La 0.511 0.059 0.689
4 La 0.989 0.311 0.941
5 La 0.936 0.200 0.409
6 La 0.564 0.591 0.800
7 La 0.064 0.800 0.591
8 La 0.436 0.409 0.200
9 Si 0.422 0.178 0.415
10 Si 0.078 0.585 0.822
11 Si 0.578 0.822 0.585
12 Si 0.922 0.415 0.178
13 I 0.983 0.991 0.203
14 I 0.517 0.797 0.009
15 I 0.017 0.009 0.797
16 I 0.483 0.203 0.991
17 I 0.250 0.638 0.362
18 I 0.750 0.362 0.638

Properties
Crystal system: monoclinic

=====

#B
Below is crystalline La4Si2I3 at its relaxed geometry, with properties calculated at the PBE-GGA level.

a b c (Å): 4.450 4.450 19.245
angles (deg): 90.05 89.95 120.00
Element x y z (fractional)
1 La 0.334 0.666 0.879
2 La 0.999 0.001 0.290
3 La 0.001 0.999 0.710
4 La 0.666 0.334 0.121
5 Si 0.667 0.333 0.799
6 Si 0.333 0.667 0.201
7 I 0.666 0.334 0.398
8 I 0.000 0.000 0.000
9 I 0.334 0.666 0.602

Properties
Crystal system: monoclinic

=====

What should be chosen as the most stable of them? Choose #B.

=====

#A
Below is crystalline LaSi3I at its relaxed geometry, with properties calculated at the PBE-GGA level.

a b c (Å): 5.232 5.232 5.232
angles (deg): 90.00 90.00 90.00
Element x y z (fractional)
1 I 0.000 0.000 0.000
2 Si 0.000 0.500 0.000
3 Si 0.000 0.000 0.500
4 Si 0.500 0.000 0.000
5 La 0.500 0.500 0.500

Properties
Crystal system: cubic

=====

#B
Below is crystalline LaSi3I at its relaxed geometry, with properties calculated at the PBE-GGA level.

a b c (Å): 5.694 5.694 5.694
angles (deg): 90.00 90.00 90.00
Element x y z (fractional)
1 I 0.500 0.500 0.500
2 Si 0.000 0.500 0.000
3 Si 0.000 0.000 0.500
4 Si 0.500 0.000 0.000
5 La 0.000 0.000 0.000

Properties
Crystal system: cubic

=====

What should be chosen as the most stable of them? Choose #A.

=====

#A
Below is crystalline LaSiTe2I at its relaxed geometry, with properties calculated at the PBE-GGA level.

a b c (Å): 5.473 5.473 5.317
angles (deg): 90.00 90.00 90.00
Each line ends with the local moment (μB).
Element x y z (fractional)
1 I 0.000 0.000 0.500  0.00
2 Si 0.000 0.000 0.000  0.00
3 Te 0.000 0.500 0.000  -0.01
4 Te 0.500 0.000 0.000  -0.01
5 La 0.500 0.500 0.500  0.21

Properties
Crystal system: tetragonal

=====

#B
Below is crystalline LaSiTe2I at its relaxed geometry, with properties calculated at the PBE-GGA level.

a b c (Å): 6.207 6.207 6.059
angles (deg): 90.00 90.00 90.00
Element x y z (fractional)
1 I 0.000 0.000 0.500
2 Si 0.500 0.500 0.500
3 Te 0.000 0.500 0.000
4 Te 0.500 0.000 0.000
5 La 0.000 0.000 0.000

Properties
Crystal system: tetragonal

=====

What should be chosen as the most stable of them? Choose #A.

=====

#A
Below is crystalline La2SmI6 at its relaxed geometry, with properties calculated at the PBE-GGA level.

a b c (Å): 8.091 8.091 12.231
angles (deg): 90.00 90.00 90.00
Each line ends with the local moment (μB).
Element x y z (fractional)
1 La 0.500 0.500 0.331  0.16
2 La 0.500 0.500 0.669  0.16
3 La 0.000 0.000 0.169  0.16
4 La 0.000 0.000 0.831  0.16
5 Sm 0.500 0.500 0.000  0.06
6 Sm 0.000 0.000 0.500  0.06
7 I 0.714 0.714 0.163  0.00
8 I 0.714 0.714 0.837  0.00
9 I 0.721 0.721 0.500  0.00
10 I 0.779 0.221 0.000  0.00
11 I 0.786 0.214 0.337  0.00
12 I 0.786 0.214 0.663  0.00
13 I 0.214 0.786 0.337  0.00
14 I 0.214 0.786 0.663  0.00
15 I 0.221 0.779 0.000  0.00
16 I 0.279 0.279 0.500  0.00
17 I 0.286 0.286 0.163  0.00
18 I 0.286 0.286 0.837  0.00

Properties
Crystal system: tetragonal

=====

#B
Below is crystalline La2SmI6 at its relaxed geometry, with properties calculated at the PBE-GGA level.

a b c (Å): 4.289 9.033 11.700
angles (deg): 114.72 90.00 103.73
Element x y z (fractional)
1 La 0.652 0.304 0.812
2 La 0.348 0.696 0.188
3 Sm 0.000 0.000 0.500
4 I 0.307 0.614 0.885
5 I 0.693 0.386 0.115
6 I 0.992 0.983 0.220
7 I 0.642 0.284 0.535
8 I 0.008 0.017 0.780
9 I 0.358 0.716 0.465

Properties
Crystal system: monoclinic

=====

What should be chosen as the most stable of them? Choose #B.

=====

#A
Below is crystalline LaSmTlI at its relaxed geometry, with properties calculated at the PBE-GGA level.

a b c (Å): 5.594 5.594 5.594
angles (deg): 60.00 60.00 60.00
Element x y z (fractional)
1 I 0.500 0.500 0.500
2 Tl 0.000 0.000 0.000
3 Sm 0.250 0.250 0.250
4 La 0.750 0.750 0.750

Properties
Crystal system: cubic

=====

#B
Below is crystalline LaSmTlI at its relaxed geometry, with properties calculated at the PBE-GGA level.

a b c (Å): 4.626 4.626 7.844
angles (deg): 72.85 72.85 60.00
Element x y z (fractional)
1 La 0.951 0.951 0.146
2 Sm 0.437 0.437 0.690
3 Tl 0.697 0.697 0.909
4 I 0.192 0.192 0.425

Properties
Crystal system: trigonal

=====

What should be chosen as the most stable of them? Choose #B.

=====

#A
Below is crystalline La4Sn2I at its relaxed geometry, with properties calculated at the PBE-GGA level.

a b c (Å): 5.760 5.760 9.365
angles (deg): 72.09 72.09 90.00
Element x y z (fractional)
1 I 0.000 0.000 0.000
2 Sn 0.374 0.374 0.251
3 Sn 0.626 0.626 0.749
4 La 0.184 0.184 0.632
5 La 0.816 0.816 0.368
6 La 0.000 0.500 0.000
7 La 0.500 0.000 0.000

Properties
Crystal system: tetragonal

=====

#B
Below is crystalline La4Sn2I at its relaxed geometry, with properties calculated at the PBE-GGA level.

a b c (Å): 6.832 6.670 10.824
angles (deg): 90.00 105.20 90.00
Element x y z (fractional)
1 La 0.535 0.514 0.271
2 La 0.031 0.750 0.849
3 La 0.969 0.250 0.151
4 La 0.535 0.986 0.271
5 La 0.878 0.250 0.541
6 La 0.465 0.014 0.729
7 La 0.465 0.486 0.729
8 La 0.122 0.750 0.459
9 Sn 0.567 0.750 0.997
10 Sn 0.433 0.250 0.003
11 Sn 0.292 0.250 0.443
12 Sn 0.708 0.750 0.557
13 I 0.098 0.750 0.160
14 I 0.902 0.250 0.840

Properties
Crystal system: monoclinic

=====

What should be chosen as the most stable of them? Choose #B.

=====

#A
Below is crystalline La3SnI at its relaxed geometry, with properties calculated at the PBE-GGA level.

a b c (Å): 4.394 9.543 10.755
angles (deg): 118.74 78.23 103.32
Element x y z (fractional)
1 La 0.881 0.373 0.612
2 La 0.645 0.336 0.047
3 La 0.947 0.086 0.192
4 La 0.119 0.627 0.388
5 La 0.053 0.914 0.808
6 La 0.355 0.664 0.953
7 Sn 0.506 0.650 0.639
8 Sn 0.494 0.350 0.361
9 I 0.236 0.253 0.781
10 I 0.764 0.747 0.219

Properties
Crystal system: monoclinic

=====

#B
Below is crystalline La3SnI at its relaxed geometry, with properties calculated at the PBE-GGA level.

a b c (Å): 5.901 5.901 5.901
angles (deg): 90.00 90.00 90.00
Element x y z (fractional)
1 I 0.000 0.000 0.000
2 Sn 0.500 0.500 0.500
3 La 0.000 0.500 0.000
4 La 0.000 0.000 0.500
5 La 0.500 0.000 0.000

Properties
Crystal system: cubic

=====

What should be chosen as the most stable of them? Choose #A.